Below is an optimized crystal structure of LiZr2Ge, with properties calculated at the PBE level. Values from VASP.

The structure in Quantum ESPRESSO input format:
```
&SYSTEM
  ibrav = 0, nat = 8, ntyp = 3
/
ATOMIC_SPECIES
Li 6.94 Li.upf
Zr 91.22 Zr.upf
Ge 72.64 Ge.upf
ATOMIC_POSITIONS angstrom
Li 0.000 0.000 0.000
Li 0.000 3.775 1.374
Zr 1.887 1.919 -0.687
Zr 5.631 1.887 0.687
Zr 1.887 1.856 2.061
Zr -1.856 1.887 3.436
Ge 3.775 0.000 1.374
Ge 0.000 0.000 2.749
CELL_PARAMETERS angstrom
-3.775 3.775 2.749
3.775 -3.775 2.749
3.775 3.775 -2.749
```

Calculated values
DFT total energy in eV for the cell shown: -47.32
Formation energy from the elements in eV per atom: -0.008